No. 1
The following is a DFT calculation (PBE-GGA) of crystalline Er2TmZn2Ga2 at its relaxed geometry.

Cell and atoms, written as CIF:
```
data_Er2TmZn2Ga2
_chemical_formula_sum 'Er6 Tm3 Zn6 Ga6'
_symmetry_space_group_name_H-M 'R -3 m'
_symmetry_Int_Tables_number 166
_symmetry_space_group_name_Hall '-R 3 2"'
_cell_length_a 4.4189
_cell_length_b 4.4189
_cell_length_c 26.9003
_cell_angle_alpha 90.00
_cell_angle_beta 90.00
_cell_angle_gamma 120.00
loop_
_atom_site_label
_atom_site_type_symbol
_atom_site_fract_x
_atom_site_fract_y
_atom_site_fract_z
_atom_site_occupancy
Er1 Er 0.0000 0.0000 0.1263 1
Tm1 Tm 0.0000 0.0000 0.0000 1
Zn1 Zn 0.0000 0.0000 0.3962 1
Ga1 Ga 0.0000 0.0000 0.2634 1
```

Summary:
For the density of states at the Fermi level, the calculation gives 9.65 states/eV/cell. The total magnetization comes out at 0.00 Bohr magnetons per cell. The value obtained for the volume is 454.9 Å³/cell. The total energy comes out at -3.554 eV per atom.

No. 2
The following is a DFT calculation (PBE-GGA) of crystalline SrTaSbS2 at its relaxed geometry.

Cell and atoms, written as CIF:
```
data_SrTaSbS2
_chemical_formula_sum 'Sr1 Ta1 Sb1 S2'
_symmetry_space_group_name_H-M 'P 4/m m m'
_symmetry_Int_Tables_number 123
_symmetry_space_group_name_Hall '-P 4 2'
_cell_length_a 5.304
_cell_length_b 5.304
_cell_length_c 5.302
_cell_angle_alpha 90.00
_cell_angle_beta 90.00
_cell_angle_gamma 90.00
loop_
_atom_site_label
_atom_site_type_symbol
_atom_site_fract_x
_atom_site_fract_y
_atom_site_fract_z
_atom_site_occupancy
Sr1 Sr 0.000 0.000 0.000 1
Ta1 Ta 0.500 0.500 0.000 1
Sb1 Sb 0.500 0.500 0.500 1
S1 S 0.000 0.500 0.500 1
```

Summary:
For the density of states at the Fermi level, the calculation gives 3.31 states/eV/cell. The total magnetization comes out at 2.46 Bohr magnetons per cell. The value obtained for the volume is 149.2 Å³/cell. As for the formation energy (no corrections): 0.4700 eV per atom.

No. 3
The following is a DFT calculation (PBE-GGA) of crystalline TlInNiPd at its relaxed geometry.

Cell and atoms, written as CIF:
```
data_TlInNiPd
_chemical_formula_sum 'Tl4 In4 Ni4 Pd4'
_symmetry_space_group_name_H-M 'F -4 3 m'
_symmetry_Int_Tables_number 216
_symmetry_space_group_name_Hall 'F -4 2 3'
_cell_length_a 6.585
_cell_length_b 6.585
_cell_length_c 6.585
_cell_angle_alpha 90.00
_cell_angle_beta 90.00
_cell_angle_gamma 90.00
loop_
_atom_site_label
_atom_site_type_symbol
_atom_site_fract_x
_atom_site_fract_y
_atom_site_fract_z
_atom_site_occupancy
Tl1 Tl 0.000 0.000 0.000 1
In1 In 0.000 0.000 0.500 1
Ni1 Ni 0.250 0.250 0.750 1
Pd1 Pd 0.250 0.250 0.250 1
```

Summary:
For the density of states at the Fermi level, the calculation gives 8.69 states/eV/cell. The total magnetization comes out at 0.00 Bohr magnetons per cell. The value obtained for the volume is 285.5 Å³/cell. The total energy comes out at -4.062 eV per atom.

No. 4
The following is a DFT calculation (PBE-GGA) of crystalline PuCoW at its relaxed geometry.

Cell and atoms, written as CIF:
```
data_PuCoW
_chemical_formula_sum 'Pu16 Co16 W16'
_symmetry_space_group_name_H-M 'F d d d'
_symmetry_Int_Tables_number 70
_cell_length_a 5.190
_cell_length_b 8.557
_cell_length_c 17.659
_cell_angle_alpha 90.00
_cell_angle_beta 90.00
_cell_angle_gamma 90.00
loop_
_symmetry_equiv_pos_as_xyz
'x,y,z'
'-x,-y,-z'
'-x+1/4,-y+1/4,z'
'x+1/4,y+1/4,-z'
'x,-y+1/4,-z+1/4'
'-x,y+1/4,z+1/4'
'-x+1/4,y,-z+1/4'
'x+1/4,-y,z+1/4'
'x,y+1/2,z+1/2'
'-x,-y+1/2,-z+1/2'
'-x+1/4,-y+3/4,z+1/2'
'x+1/4,y+3/4,-z+1/2'
'x,-y+3/4,-z+3/4'
'-x,y+3/4,z+3/4'
'-x+1/4,y+1/2,-z+3/4'
'x+1/4,-y+1/2,z+3/4'
'x+1/2,y,z+1/2'
'-x+1/2,-y,-z+1/2'
'-x+3/4,-y+1/4,z+1/2'
'x+3/4,y+1/4,-z+1/2'
'x+1/2,-y+1/4,-z+3/4'
'-x+1/2,y+1/4,z+3/4'
'-x+3/4,y,-z+3/4'
'x+3/4,-y,z+3/4'
'x+1/2,y+1/2,z'
'-x+1/2,-y+1/2,-z'
'-x+3/4,-y+3/4,z'
'x+3/4,y+3/4,-z'
'x+1/2,-y+3/4,-z+1/4'
'-x+1/2,y+3/4,z+1/4'
'-x+3/4,y+1/2,-z+1/4'
'x+3/4,-y+1/2,z+1/4'
loop_
_atom_site_label
_atom_site_type_symbol
_atom_site_fract_x
_atom_site_fract_y
_atom_site_fract_z
_atom_site_occupancy
Pu1 Pu 0.125 0.125 0.047 1
Co1 Co 0.125 0.125 0.502 1
W1 W 0.125 0.297 0.625 1
```

Summary:
For the density of states at the Fermi level, the calculation gives 121.62 states/eV/cell. The total magnetization comes out at 65.77 Bohr magnetons per cell. The value obtained for the volume is 784.2 Å³/cell. The total energy comes out at -11.283 eV per atom.

No. 5
The following is a DFT calculation (PBE-GGA) of crystalline TmZnInRu at its relaxed geometry.

Cell and atoms, written as CIF:
```
data_TmZnInRu
_chemical_formula_sum 'Tm4 Zn4 In4 Ru4'
_symmetry_space_group_name_H-M 'F -4 3 m'
_symmetry_Int_Tables_number 216
_symmetry_space_group_name_Hall 'F -4 2 3'
_cell_length_a 6.690
_cell_length_b 6.690
_cell_length_c 6.690
_cell_angle_alpha 90.00
_cell_angle_beta 90.00
_cell_angle_gamma 90.00
loop_
_atom_site_label
_atom_site_type_symbol
_atom_site_fract_x
_atom_site_fract_y
_atom_site_fract_z
_atom_site_occupancy
Tm1 Tm 0.000 0.000 0.000 1
Zn1 Zn 0.250 0.250 0.750 1
In1 In 0.000 0.000 0.500 1
Ru1 Ru 0.250 0.250 0.250 1
```

Summary:
For the density of states at the Fermi level, the calculation gives 12.79 states/eV/cell. The total magnetization comes out at 0.00 Bohr magnetons per cell. The value obtained for the volume is 299.5 Å³/cell. The total energy comes out at -4.622 eV per atom.

No. 6
The following is a DFT calculation (PBE-GGA) of crystalline LiZr4Cu at its relaxed geometry.

Cell and atoms, written as CIF:
```
data_LiZr4Cu
_chemical_formula_sum 'Li4 Zr16 Cu4'
_symmetry_space_group_name_H-M 'F -4 3 m'
_symmetry_Int_Tables_number 216
_symmetry_space_group_name_Hall 'F -4 2 3'
_cell_length_a 8.123
_cell_length_b 8.123
_cell_length_c 8.123
_cell_angle_alpha 90.00
_cell_angle_beta 90.00
_cell_angle_gamma 90.00
loop_
_atom_site_label
_atom_site_type_symbol
_atom_site_fract_x
_atom_site_fract_y
_atom_site_fract_z
_atom_site_occupancy
Li1 Li 0.000 0.000 0.000 1
Zr1 Zr 0.124 0.124 0.624 1
Cu1 Cu 0.250 0.250 0.250 1
```

Summary:
For the density of states at the Fermi level, the calculation gives 29.06 states/eV/cell. The total magnetization comes out at 0.00 Bohr magnetons per cell. The value obtained for the volume is 536.0 Å³/cell. The total energy comes out at -6.118 eV per atom.

No. 7
The following is a DFT calculation (PBE-GGA) of crystalline BaLiMg2 at its relaxed geometry.

Cell and atoms, written as CIF:
```
data_BaLiMg2
_chemical_formula_sum 'Ba3 Li3 Mg6'
_symmetry_space_group_name_H-M 'R 3 m'
_symmetry_Int_Tables_number 160
_symmetry_space_group_name_Hall 'R 3 -2"'
_cell_length_a 5.1718
_cell_length_b 5.1718
_cell_length_c 17.4307
_cell_angle_alpha 90.00
_cell_angle_beta 90.00
_cell_angle_gamma 120.00
loop_
_atom_site_label
_atom_site_type_symbol
_atom_site_fract_x
_atom_site_fract_y
_atom_site_fract_z
_atom_site_occupancy
Ba1 Ba 0.0000 0.0000 0.0000 1
Li1 Li 0.0000 0.0000 0.1998 1
Mg1 Mg 0.0000 0.0000 0.5074 1
Mg2 Mg 0.0000 0.0000 0.7968 1
```

Summary:
For the density of states at the Fermi level, the calculation gives 10.30 states/eV/cell. The total magnetization comes out at 0.00 Bohr magnetons per cell. The value obtained for the volume is 403.8 Å³/cell. The distance to the lowest polymorph of the same formula is 45 meV/atom.

No. 8
The following is a DFT calculation (PBE-GGA) of crystalline Zr2TiCoN at its relaxed geometry.

Cell and atoms, written as CIF:
```
data_Zr2TiCoN
_chemical_formula_sum 'Zr4 Ti2 Co2 N2'
_symmetry_space_group_name_H-M 'P 4/n m m'
_symmetry_Int_Tables_number 129
_cell_length_a 3.453
_cell_length_b 3.453
_cell_length_c 12.509
_cell_angle_alpha 90.00
_cell_angle_beta 90.00
_cell_angle_gamma 90.00
loop_
_symmetry_equiv_pos_as_xyz
'x,y,z'
'-x,-y,-z'
'-y+1/2,x,z'
'y+1/2,-x,-z'
'-x+1/2,-y+1/2,z'
'x+1/2,y+1/2,-z'
'y,-x+1/2,z'
'-y,x+1/2,-z'
'x+1/2,-y,-z'
'-x+1/2,y,z'
'-y,-x,-z'
'y,x,z'
'-x,y+1/2,-z'
'x,-y+1/2,z'
'y+1/2,x+1/2,-z'
'-y+1/2,-x+1/2,z'
loop_
_atom_site_label
_atom_site_type_symbol
_atom_site_fract_x
_atom_site_fract_y
_atom_site_fract_z
_atom_site_occupancy
Zr1 Zr 0.250 0.250 0.087 1
Zr2 Zr 0.250 0.250 0.731 1
Ti1 Ti 0.250 0.750 0.500 1
Co1 Co 0.250 0.250 0.337 1
N1 N 0.250 0.250 0.910 1
```

Summary:
For the density of states at the Fermi level, the calculation gives 8.57 states/eV/cell. The total magnetization comes out at 0.00 Bohr magnetons per cell. The value obtained for the volume is 149.1 Å³/cell. The distance to the lowest polymorph of the same formula is 0 meV/atom. As for the formation energy (no corrections): -0.7234 eV per atom.

No. 9
The following is a DFT calculation (PBE-GGA) of crystalline RbNaMgBi at its relaxed geometry.

Cell and atoms, written as CIF:
```
data_RbNaMgBi
_chemical_formula_sum 'Rb2 Na2 Mg2 Bi2'
_symmetry_space_group_name_H-M 'P 4/n m m'
_symmetry_Int_Tables_number 129
_cell_length_a 4.893
_cell_length_b 4.893
_cell_length_c 14.308
_cell_angle_alpha 90.00
_cell_angle_beta 90.00
_cell_angle_gamma 90.00
loop_
_symmetry_equiv_pos_as_xyz
'x,y,z'
'-x,-y,-z'
'-y+1/2,x,z'
'y+1/2,-x,-z'
'-x+1/2,-y+1/2,z'
'x+1/2,y+1/2,-z'
'y,-x+1/2,z'
'-y,x+1/2,-z'
'x+1/2,-y,-z'
'-x+1/2,y,z'
'-y,-x,-z'
'y,x,z'
'-x,y+1/2,-z'
'x,-y+1/2,z'
'y+1/2,x+1/2,-z'
'-y+1/2,-x+1/2,z'
loop_
_atom_site_label
_atom_site_type_symbol
_atom_site_fract_x
_atom_site_fract_y
_atom_site_fract_z
_atom_site_occupancy
Rb1 Rb 0.250 0.250 0.229 1
Na1 Na 0.250 0.750 0.500 1
Mg1 Mg 0.250 0.750 0.000 1
Bi1 Bi 0.250 0.250 0.876 1
```

Summary:
For the density of states at the Fermi level, the calculation gives 3.20 states/eV/cell. The total magnetization comes out at 0.00 Bohr magnetons per cell. The value obtained for the volume is 342.5 Å³/cell. The total energy comes out at -2.203 eV per atom.

No. 10
The following is a DFT calculation (PBE-GGA) of crystalline DyHgIr at its relaxed geometry.

Cell and atoms, written as CIF:
```
data_DyHgIr
_chemical_formula_sum 'Dy4 Hg4 Ir4'
_symmetry_space_group_name_H-M 'P -1'
_symmetry_Int_Tables_number 2
_symmetry_space_group_name_Hall '-P 1'
_cell_length_a 5.408
_cell_length_b 8.070
_cell_length_c 8.072
_cell_angle_alpha 62.24
_cell_angle_beta 74.02
_cell_angle_gamma 74.02
loop_
_atom_site_label
_atom_site_type_symbol
_atom_site_fract_x
_atom_site_fract_y
_atom_site_fract_z
_atom_site_occupancy
Dy1 Dy 0.214 0.419 0.168 1
Dy2 Dy 0.215 0.917 0.668 1
Hg1 Hg 0.218 0.156 0.907 1
Hg2 Hg 0.220 0.658 0.407 1
Ir1 Ir 0.337 0.025 0.273 1
Ir2 Ir 0.337 0.522 0.774 1
```

Summary:
For the density of states at the Fermi level, the calculation gives 3.38 states/eV/cell. The total magnetization comes out at 0.00 Bohr magnetons per cell. The value obtained for the volume is 295.2 Å³/cell. The total energy comes out at -4.901 eV per atom.

No. 11
The following is a DFT calculation (PBE-GGA) of crystalline Tb2PmYTh at its relaxed geometry.

Cell and atoms, written as CIF:
```
data_Tb2PmYTh
_chemical_formula_sum 'Tb8 Pm4 Y4 Th4'
_symmetry_space_group_name_H-M 'C m c m'
_symmetry_Int_Tables_number 63
_symmetry_space_group_name_Hall '-C 2c 2'
_cell_length_a 8.572
_cell_length_b 11.941
_cell_length_c 6.947
_cell_angle_alpha 90.00
_cell_angle_beta 90.00
_cell_angle_gamma 90.00
loop_
_atom_site_label
_atom_site_type_symbol
_atom_site_fract_x
_atom_site_fract_y
_atom_site_fract_z
_atom_site_occupancy
Tb1 Tb 0.183 0.000 0.000 1
Pm1 Pm 0.000 0.228 0.250 1
Y1 Y 0.000 0.230 0.750 1
Th1 Th 0.000 0.495 0.250 1
```

Summary:
For the density of states at the Fermi level, the calculation gives 32.95 states/eV/cell. The total magnetization comes out at 0.00 Bohr magnetons per cell. The value obtained for the volume is 711.1 Å³/cell. The total energy comes out at -5.146 eV per atom.

No. 12
The following is a DFT calculation (PBE-GGA) of crystalline SrBe2Hg2 at its relaxed geometry.

Cell and atoms, written as CIF:
```
data_SrBe2Hg2
_chemical_formula_sum 'Sr2 Be4 Hg4'
_symmetry_space_group_name_H-M 'I 4/m m m'
_symmetry_Int_Tables_number 139
_symmetry_space_group_name_Hall '-I 4 2'
_cell_length_a 4.399
_cell_length_b 4.399
_cell_length_c 10.666
_cell_angle_alpha 90.00
_cell_angle_beta 90.00
_cell_angle_gamma 90.00
loop_
_atom_site_label
_atom_site_type_symbol
_atom_site_fract_x
_atom_site_fract_y
_atom_site_fract_z
_atom_site_occupancy
Sr1 Sr 0.000 0.000 0.000 1
Be1 Be 0.000 0.500 0.250 1
Hg1 Hg 0.000 0.000 0.356 1
```

Summary:
For the density of states at the Fermi level, the calculation gives 4.03 states/eV/cell. The total magnetization comes out at 0.00 Bohr magnetons per cell. The value obtained for the volume is 206.4 Å³/cell. The total energy comes out at -1.942 eV per atom.